# 1
Below is an optimized crystal structure of Sm2Si2Au3, with properties calculated at the GGA-PBE level. Values from VASP.

Its energy relative to the elements, uncorrected is -0.653 eV/atom.

Geometry as Quantum ESPRESSO input:
```
&SYSTEM
  ibrav = 0, nat = 7, ntyp = 3
/
ATOMIC_SPECIES
Sm 150.36 Sm.upf
Si 28.09 Si.upf
Au 196.97 Au.upf
ATOMIC_POSITIONS crystal
Sm 0.859 0.717 0.226
Sm 0.141 0.283 0.774
Si 0.856 0.712 0.801
Si 0.144 0.288 0.199
Au 0.500 0.000 0.000
Au 0.623 0.245 0.443
Au 0.377 0.755 0.557
CELL_PARAMETERS angstrom
4.113 0.000 0.000
-2.057 5.240 -0.274
0.000 -2.738 6.757
```

***

# 2
Below is an optimized crystal structure of Sm3Si3Au, with properties calculated at the GGA-PBE level. Values from VASP.

Its energy relative to the elements, uncorrected is -0.764 eV/atom.

Geometry as Quantum ESPRESSO input:
```
&SYSTEM
  ibrav = 0, nat = 7, ntyp = 3
/
ATOMIC_SPECIES
Sm 150.36 Sm.upf
Si 28.09 Si.upf
Au 196.97 Au.upf
ATOMIC_POSITIONS crystal
Sm 0.314 0.814 0.627
Sm 0.683 0.183 0.366
Sm 0.007 0.007 0.014
Si 0.144 0.644 0.289
Si 0.851 0.351 0.701
Si 0.567 0.567 0.134
Au 0.435 0.435 0.869
CELL_PARAMETERS angstrom
3.928 0.000 -0.857
-0.214 4.218 -0.980
0.049 0.017 9.655
```

***

# 3
Below is an optimized crystal structure of SmSi2Au6, with properties calculated at the GGA-PBE level. Values from VASP.

Its energy relative to the elements, uncorrected is -0.348 eV/atom.

Geometry as Quantum ESPRESSO input:
```
&SYSTEM
  ibrav = 0, nat = 9, ntyp = 3
/
ATOMIC_SPECIES
Sm 150.36 Sm.upf
Si 28.09 Si.upf
Au 196.97 Au.upf
ATOMIC_POSITIONS crystal
Sm 0.000 0.000 0.000
Si 0.500 0.500 0.133
Si 0.500 0.500 0.867
Au 0.000 0.500 0.271
Au 0.500 0.000 0.271
Au 0.000 0.500 0.729
Au 0.500 0.000 0.729
Au 0.500 0.500 0.500
Au 0.000 0.000 0.500
CELL_PARAMETERS angstrom
4.383 0.000 0.000
0.000 4.383 0.000
0.000 0.000 8.777
```

***

# 4
Below is an optimized crystal structure of SmSiAu2, with properties calculated at the GGA-PBE level. Values from VASP.

Its energy relative to the elements, uncorrected is -0.524 eV/atom.

Geometry as Quantum ESPRESSO input:
```
&SYSTEM
  ibrav = 0, nat = 4, ntyp = 3
/
ATOMIC_SPECIES
Si 28.09 Si.upf
Au 196.97 Au.upf
Sm 150.36 Sm.upf
ATOMIC_POSITIONS crystal
Si 0.000 0.000 0.000
Au 0.279 0.279 0.163
Au 0.721 0.721 0.837
Sm 0.500 0.500 0.500
CELL_PARAMETERS angstrom
4.301 0.000 0.000
2.150 3.724 0.000
2.150 1.241 5.326
```

***

# 5
Below is an optimized crystal structure of Sm3Si4Au, with properties calculated at the GGA-PBE level. Values from VASP.

Its energy relative to the elements, uncorrected is -0.589 eV/atom.

Geometry as Quantum ESPRESSO input:
```
&SYSTEM
  ibrav = 0, nat = 8, ntyp = 3
/
ATOMIC_SPECIES
Sm 150.36 Sm.upf
Si 28.09 Si.upf
Au 196.97 Au.upf
ATOMIC_POSITIONS crystal
Sm 0.191 0.191 0.383
Sm 0.809 0.809 0.617
Sm 0.000 0.500 0.000
Si 0.378 0.582 0.756
Si 0.622 0.418 0.244
Si 0.622 0.826 0.244
Si 0.378 0.174 0.756
Au 0.500 0.000 0.000
CELL_PARAMETERS angstrom
-0.252 -4.086 1.526
5.599 -0.773 -1.145
-0.939 4.874 6.641
```

***

# 6
Below is an optimized crystal structure of SmSi2Sn2Au7, with properties calculated at the GGA-PBE level. Values from VASP.

Its energy relative to the elements, uncorrected is -0.200 eV/atom.

Geometry as Quantum ESPRESSO input:
```
&SYSTEM
  ibrav = 0, nat = 12, ntyp = 4
/
ATOMIC_SPECIES
Sm 150.36 Sm.upf
Si 28.09 Si.upf
Sn 118.71 Sn.upf
Au 196.97 Au.upf
ATOMIC_POSITIONS crystal
Sm 0.000 0.000 0.000
Si 0.639 0.639 0.772
Si 0.361 0.361 0.228
Sn 0.881 0.881 0.370
Sn 0.119 0.119 0.630
Au 0.500 0.500 0.000
Au 0.330 0.330 0.427
Au 0.670 0.670 0.573
Au 0.900 0.491 0.174
Au 0.491 0.900 0.174
Au 0.509 0.100 0.826
Au 0.100 0.509 0.826
CELL_PARAMETERS angstrom
-0.021 1.673 -4.381
-0.824 -4.464 -1.178
-12.008 1.928 0.682
```

***

# 7
Below is an optimized crystal structure of TbSmSiAu, with properties calculated at the GGA-PBE level. Values from VASP.

Its energy relative to the elements, uncorrected is -0.644 eV/atom.

Geometry as Quantum ESPRESSO input:
```
&SYSTEM
  ibrav = 0, nat = 4, ntyp = 4
/
ATOMIC_SPECIES
Tb 158.93 Tb.upf
Si 28.09 Si.upf
Au 196.97 Au.upf
Sm 150.36 Sm.upf
ATOMIC_POSITIONS crystal
Tb 0.000 0.000 0.000
Si 0.750 0.750 0.750
Au 0.250 0.250 0.250
Sm 0.500 0.500 0.500
CELL_PARAMETERS angstrom
-3.871 -0.352 3.320
0.897 -1.405 4.832
-0.445 3.413 3.779
```

***

# 8
Below is an optimized crystal structure of SmYSiAu, with properties calculated at the GGA-PBE level. Values from VASP.

Its energy relative to the elements, uncorrected is -0.654 eV/atom.

Geometry as Quantum ESPRESSO input:
```
&SYSTEM
  ibrav = 0, nat = 4, ntyp = 4
/
ATOMIC_SPECIES
Y 88.91 Y.upf
Si 28.09 Si.upf
Au 196.97 Au.upf
Sm 150.36 Sm.upf
ATOMIC_POSITIONS crystal
Y 0.000 0.000 0.000
Si 0.750 0.750 0.750
Au 0.250 0.250 0.250
Sm 0.500 0.500 0.500
CELL_PARAMETERS angstrom
5.106 0.000 0.000
2.553 4.422 0.000
2.553 1.474 4.169
```

***

# 9
Below is an optimized crystal structure of SmZn2SiAu, with properties calculated at the GGA-PBE level. Values from VASP.

Its energy relative to the elements, uncorrected is -0.520 eV/atom.

Geometry as Quantum ESPRESSO input:
```
&SYSTEM
  ibrav = 0, nat = 5, ntyp = 4
/
ATOMIC_SPECIES
Sm 150.36 Sm.upf
Zn 65.41 Zn.upf
Si 28.09 Si.upf
Au 196.97 Au.upf
ATOMIC_POSITIONS crystal
Sm 0.438 0.438 0.876
Zn 0.692 0.192 0.384
Zn 0.052 0.052 0.104
Si 0.832 0.832 0.664
Au 0.198 0.698 0.396
CELL_PARAMETERS angstrom
4.177 0.000 0.000
0.000 4.161 0.000
-2.088 -2.080 5.396
```

***

# 10
Below is an optimized crystal structure of Sm2ZnSi3Au4, with properties calculated at the GGA-PBE level. Values from VASP.

Its energy relative to the elements, uncorrected is -0.591 eV/atom.

Geometry as Quantum ESPRESSO input:
```
&SYSTEM
  ibrav = 0, nat = 10, ntyp = 4
/
ATOMIC_SPECIES
Sm 150.36 Sm.upf
Zn 65.41 Zn.upf
Si 28.09 Si.upf
Au 196.97 Au.upf
ATOMIC_POSITIONS crystal
Sm 0.500 0.000 0.242
Sm 0.000 0.500 0.758
Zn 0.500 0.500 0.500
Si 0.000 0.000 0.500
Si 0.500 0.000 0.863
Si 0.000 0.500 0.137
Au 0.500 0.500 0.000
Au 0.000 0.000 0.000
Au 0.500 0.000 0.636
Au 0.000 0.500 0.364
CELL_PARAMETERS angstrom
4.265 0.000 0.000
0.000 4.265 0.000
0.000 0.000 10.655
```

***

# 11
Below is an optimized crystal structure of SiSn3Au, with properties calculated at the GGA-PBE level. Values from VASP.

Its energy relative to the elements, uncorrected is 0.666 eV/atom.

Geometry as Quantum ESPRESSO input:
```
&SYSTEM
  ibrav = 0, nat = 5, ntyp = 3
/
ATOMIC_SPECIES
Si 28.09 Si.upf
Au 196.97 Au.upf
Sn 118.71 Sn.upf
ATOMIC_POSITIONS crystal
Si 0.500 0.500 0.500
Au 0.000 0.000 0.000
Sn 0.000 0.500 0.000
Sn 0.000 0.000 0.500
Sn 0.500 0.000 0.000
CELL_PARAMETERS angstrom
5.338 0.000 0.000
0.000 5.338 0.000
0.000 0.000 5.338
```

***

# 12
Below is an optimized crystal structure of SiSnAu, with properties calculated at the GGA-PBE level. Values from VASP.

Its energy relative to the elements, uncorrected is 0.138 eV/atom.

Geometry as Quantum ESPRESSO input:
```
&SYSTEM
  ibrav = 0, nat = 6, ntyp = 3
/
ATOMIC_SPECIES
Sn 118.71 Sn.upf
Au 196.97 Au.upf
Si 28.09 Si.upf
ATOMIC_POSITIONS crystal
Sn 0.420 0.420 0.741
Sn 0.580 0.580 0.259
Au 0.297 0.297 0.108
Au 0.703 0.703 0.892
Si 0.183 0.183 0.452
Si 0.817 0.817 0.548
CELL_PARAMETERS angstrom
-2.297 3.853 -0.082
-2.782 0.881 -3.407
-7.420 -1.756 2.653
```

***

# 13
Below is an optimized crystal structure of SiSnAu3, with properties calculated at the GGA-PBE level. Values from VASP.

Its energy relative to the elements, uncorrected is 0.851 eV/atom. The polymorph energy (0 for the lowest one) comes out at 893.1 meV per atom.

Geometry as Quantum ESPRESSO input:
```
&SYSTEM
  ibrav = 0, nat = 5, ntyp = 3
/
ATOMIC_SPECIES
Si 28.09 Si.upf
Au 196.97 Au.upf
Sn 118.71 Sn.upf
ATOMIC_POSITIONS crystal
Si 0.500 0.500 0.500
Au 0.000 0.500 0.000
Au 0.000 0.000 0.500
Au 0.500 0.000 0.000
Sn 0.000 0.000 0.000
CELL_PARAMETERS angstrom
-1.246 2.307 -4.431
-4.276 -2.854 -0.283
-2.583 3.612 2.607
```

***

# 14
Below is an optimized crystal structure of SiSnAu3, with properties calculated at the GGA-PBE level. Values from VASP.

Its energy relative to the elements, uncorrected is 0.143 eV/atom. The polymorph energy (0 for the lowest one) comes out at 185.2 meV per atom.

Geometry as Quantum ESPRESSO input:
```
&SYSTEM
  ibrav = 0, nat = 5, ntyp = 3
/
ATOMIC_SPECIES
Si 28.09 Si.upf
Au 196.97 Au.upf
Sn 118.71 Sn.upf
ATOMIC_POSITIONS crystal
Si 0.000 0.000 0.000
Au 0.000 0.500 0.000
Au 0.000 0.000 0.500
Au 0.500 0.000 0.000
Sn 0.500 0.500 0.500
CELL_PARAMETERS angstrom
-3.438 2.829 -1.884
0.186 -2.519 -4.122
-3.393 -3.004 1.682
```

***

# 15
Below is an optimized crystal structure of Si2Sn2Au7, with properties calculated at the GGA-PBE level. Values from VASP.

Its energy relative to the elements, uncorrected is -0.007 eV/atom.

Geometry as Quantum ESPRESSO input:
```
&SYSTEM
  ibrav = 0, nat = 11, ntyp = 3
/
ATOMIC_SPECIES
Si 28.09 Si.upf
Sn 118.71 Sn.upf
Au 196.97 Au.upf
ATOMIC_POSITIONS crystal
Si 0.738 0.068 0.262
Si 0.262 0.932 0.738
Sn 0.792 0.500 0.792
Sn 0.208 0.500 0.208
Au 0.026 0.251 0.565
Au 0.565 0.749 0.026
Au 0.974 0.749 0.435
Au 0.435 0.251 0.974
Au 0.000 0.000 0.000
Au 0.504 0.794 0.496
Au 0.496 0.206 0.504
CELL_PARAMETERS angstrom
5.761 -0.285 -0.800
-0.315 6.936 0.336
-0.440 0.285 5.799
```

***

# 16
Below is an optimized crystal structure of Si5Sn12Au3, with properties calculated at the GGA-PBE level. Values from VASP.

Its energy relative to the elements, uncorrected is 0.180 eV/atom.

Geometry as Quantum ESPRESSO input:
```
&SYSTEM
  ibrav = 0, nat = 80, ntyp = 3
/
ATOMIC_SPECIES
Au 196.97 Au.upf
Si 28.09 Si.upf
Sn 118.71 Sn.upf
ATOMIC_POSITIONS crystal
Au 0.750 0.375 0.125
Au 0.875 0.750 0.125
Au 0.375 0.750 0.625
Au 0.250 0.125 0.375
Au 0.875 0.125 0.250
Au 0.375 0.625 0.250
Au 0.625 0.375 0.750
Au 0.125 0.875 0.750
Au 0.750 0.875 0.625
Au 0.625 0.250 0.375
Au 0.125 0.250 0.875
Au 0.250 0.625 0.875
Si 0.125 0.375 0.250
Si 0.000 0.500 0.000
Si 0.000 0.000 0.000
Si 0.375 0.250 0.125
Si 0.500 0.000 0.500
Si 0.500 0.500 0.000
Si 0.125 0.750 0.375
Si 0.750 0.125 0.875
Si 0.750 0.625 0.375
Si 0.375 0.125 0.750
Si 0.625 0.875 0.250
Si 0.500 0.500 0.500
Si 0.500 0.000 0.000
Si 0.000 0.000 0.500
Si 0.250 0.375 0.625
Si 0.250 0.875 0.125
Si 0.000 0.500 0.500
Si 0.875 0.250 0.625
Si 0.625 0.750 0.875
Si 0.875 0.625 0.750
Sn 0.729 0.128 0.055
Sn 0.326 0.555 0.427
Sn 0.945 0.372 0.271
Sn 0.555 0.229 0.128
Sn 0.601 0.729 0.674
Sn 0.945 0.573 0.174
Sn 0.326 0.771 0.399
Sn 0.073 0.899 0.128
Sn 0.573 0.945 0.674
Sn 0.729 0.601 0.174
Sn 0.771 0.445 0.372
Sn 0.826 0.927 0.055
Sn 0.128 0.729 0.555
Sn 0.372 0.427 0.101
Sn 0.101 0.927 0.372
Sn 0.399 0.128 0.573
Sn 0.101 0.174 0.229
Sn 0.445 0.674 0.073
Sn 0.826 0.899 0.271
Sn 0.128 0.399 0.073
Sn 0.372 0.945 0.771
Sn 0.573 0.628 0.399
Sn 0.927 0.826 0.555
Sn 0.771 0.326 0.899
Sn 0.427 0.372 0.601
Sn 0.073 0.174 0.445
Sn 0.229 0.674 0.101
Sn 0.174 0.101 0.729
Sn 0.628 0.055 0.229
Sn 0.872 0.601 0.927
Sn 0.555 0.326 0.927
Sn 0.601 0.872 0.427
Sn 0.899 0.826 0.771
Sn 0.899 0.073 0.628
Sn 0.872 0.271 0.445
Sn 0.174 0.073 0.945
Sn 0.628 0.573 0.899
Sn 0.427 0.055 0.326
Sn 0.271 0.399 0.826
Sn 0.229 0.555 0.628
Sn 0.927 0.101 0.872
Sn 0.674 0.229 0.601
Sn 0.445 0.771 0.872
Sn 0.055 0.427 0.826
Sn 0.399 0.271 0.326
Sn 0.055 0.628 0.729
Sn 0.674 0.445 0.573
Sn 0.271 0.872 0.945
CELL_PARAMETERS angstrom
14.074 0.000 0.000
-4.691 13.269 0.000
-4.691 -6.634 11.491
```

***

# 17
Below is an optimized crystal structure of Si3Sn5Au12, with properties calculated at the GGA-PBE level. Values from VASP.

Its energy relative to the elements, uncorrected is 0.078 eV/atom.

Geometry as Quantum ESPRESSO input:
```
&SYSTEM
  ibrav = 0, nat = 80, ntyp = 3
/
ATOMIC_SPECIES
Si 28.09 Si.upf
Sn 118.71 Sn.upf
Au 196.97 Au.upf
ATOMIC_POSITIONS crystal
Si 0.750 0.375 0.125
Si 0.875 0.750 0.125
Si 0.375 0.750 0.625
Si 0.250 0.125 0.375
Si 0.875 0.125 0.250
Si 0.375 0.625 0.250
Si 0.625 0.375 0.750
Si 0.125 0.875 0.750
Si 0.750 0.875 0.625
Si 0.625 0.250 0.375
Si 0.125 0.250 0.875
Si 0.250 0.625 0.875
Sn 0.125 0.375 0.250
Sn 0.000 0.500 0.000
Sn 0.000 0.000 0.000
Sn 0.375 0.250 0.125
Sn 0.500 0.000 0.500
Sn 0.500 0.500 0.000
Sn 0.125 0.750 0.375
Sn 0.750 0.125 0.875
Sn 0.750 0.625 0.375
Sn 0.375 0.125 0.750
Sn 0.625 0.875 0.250
Sn 0.500 0.500 0.500
Sn 0.500 0.000 0.000
Sn 0.000 0.000 0.500
Sn 0.250 0.375 0.625
Sn 0.250 0.875 0.125
Sn 0.000 0.500 0.500
Sn 0.875 0.250 0.625
Sn 0.625 0.750 0.875
Sn 0.875 0.625 0.750
Au 0.743 0.129 0.074
Au 0.332 0.574 0.446
Au 0.926 0.371 0.257
Au 0.574 0.243 0.129
Au 0.614 0.743 0.668
Au 0.926 0.554 0.168
Au 0.332 0.757 0.386
Au 0.054 0.886 0.129
Au 0.554 0.926 0.668
Au 0.743 0.614 0.168
Au 0.757 0.426 0.371
Au 0.832 0.946 0.074
Au 0.129 0.743 0.574
Au 0.371 0.446 0.114
Au 0.114 0.946 0.371
Au 0.386 0.129 0.554
Au 0.114 0.168 0.243
Au 0.426 0.668 0.054
Au 0.832 0.886 0.257
Au 0.129 0.386 0.054
Au 0.371 0.926 0.757
Au 0.554 0.629 0.386
Au 0.946 0.832 0.574
Au 0.757 0.332 0.886
Au 0.446 0.371 0.614
Au 0.054 0.168 0.426
Au 0.243 0.668 0.114
Au 0.168 0.114 0.743
Au 0.629 0.074 0.243
Au 0.871 0.614 0.946
Au 0.574 0.332 0.946
Au 0.614 0.871 0.446
Au 0.886 0.832 0.757
Au 0.886 0.054 0.629
Au 0.871 0.257 0.426
Au 0.168 0.054 0.926
Au 0.629 0.554 0.886
Au 0.446 0.074 0.332
Au 0.257 0.386 0.832
Au 0.243 0.574 0.629
Au 0.946 0.114 0.871
Au 0.668 0.243 0.614
Au 0.426 0.757 0.871
Au 0.074 0.446 0.832
Au 0.386 0.257 0.332
Au 0.074 0.629 0.743
Au 0.668 0.426 0.554
Au 0.257 0.871 0.926
CELL_PARAMETERS angstrom
13.487 0.000 0.000
-4.496 12.716 0.000
-4.496 -6.358 11.012
```

***

# 18
Below is an optimized crystal structure of SiSnAu4, with properties calculated at the GGA-PBE level. Values from VASP.

Its energy relative to the elements, uncorrected is -0.007 eV/atom. The polymorph energy (0 for the lowest one) comes out at 0.0 meV per atom.

Geometry as Quantum ESPRESSO input:
```
&SYSTEM
  ibrav = 0, nat = 12, ntyp = 3
/
ATOMIC_SPECIES
Si 28.09 Si.upf
Sn 118.71 Sn.upf
Au 196.97 Au.upf
ATOMIC_POSITIONS crystal
Si 0.232 0.250 0.642
Si 0.768 0.750 0.358
Sn 0.272 0.250 0.198
Sn 0.728 0.750 0.802
Au 0.743 0.250 0.473
Au 0.257 0.750 0.527
Au 0.709 0.250 0.868
Au 0.291 0.750 0.132
Au 0.782 0.003 0.164
Au 0.218 0.503 0.836
Au 0.782 0.497 0.164
Au 0.218 0.997 0.836
CELL_PARAMETERS angstrom
4.241 0.000 -0.807
0.000 7.896 0.000
1.682 0.000 7.212
```